# 1
A relaxed Ce3NiI3 crystal. Source: Alexandria via LeMat-Bulk, functional PBE-GGA.

Cell lengths 4.118, 9.189, 12.404 Å; angles 91.15, 90.00, 90.00 degrees
Site moments in Bohr magnetons follow the coordinates.
Sites, in units of the cell vectors:
1 Ce 0.250 0.315 0.623  0.98
2 Ce 0.750 0.685 0.377  0.98
3 Ce 0.250 0.917 0.610  0.91
4 Ce 0.750 0.083 0.390  0.91
5 Ce 0.250 0.887 0.147  1.17
6 Ce 0.750 0.113 0.853  1.17
7 Ni 0.250 0.881 0.377  -0.07
8 Ni 0.750 0.119 0.623  -0.07
9 I 0.250 0.386 0.366  -0.01
10 I 0.750 0.614 0.634  -0.01
11 I 0.250 0.844 0.879  -0.01
12 I 0.750 0.156 0.121  -0.01
13 I 0.250 0.380 0.878  -0.01
14 I 0.750 0.620 0.122  -0.01

Values from the calculation:
Calculated density: 6.1 g/cm3
Density of states at the Fermi level: 36.98 states/eV/cell
Electronic total energy: -34.18 eV/f.u.
Spin magnetization: 7.96 Bohr magnetons per cell

=====

# 2
A relaxed Ce2NiI crystal. Source: Alexandria via LeMat-Bulk, functional PBE-GGA.

Cell lengths 4.116, 4.116, 8.205 Å; angles 75.47, 75.47, 60.00 degrees
Site moments in Bohr magnetons follow the coordinates.
Sites, in units of the cell vectors:
1 I 0.500 0.500 0.500  -0.01
2 Ni 0.000 0.000 0.000  -0.08
3 Ce 0.272 0.272 0.183  0.89
4 Ce 0.728 0.728 0.817  0.89

Values from the calculation:
Calculated density: 6.7 g/cm3
Density of states at the Fermi level: 11.96 states/eV/cell
Electronic total energy: -21.40 eV/f.u.
Spin magnetization: 2.19 Bohr magnetons per cell
Polymorph energy (0 for the lowest one): 0.00 kJ per mole of atoms

=====

# 3
A relaxed Ce4NiI5 crystal. Source: Alexandria via LeMat-Bulk, functional PBE-GGA.

Cell lengths 4.121, 9.105, 11.983 Å; angles 125.82, 99.90, 90.00 degrees
Site moments in Bohr magnetons follow the coordinates.
Sites, in units of the cell vectors:
1 Ce 0.653 0.233 0.307  1.12
2 Ce 0.999 0.797 0.998  0.87
3 Ce 0.347 0.767 0.693  1.12
4 Ce 0.001 0.203 0.002  0.87
5 Ni 0.500 0.000 0.000  -0.06
6 I 0.166 0.985 0.333  -0.01
7 I 0.172 0.535 0.345  -0.01
8 I 0.828 0.465 0.655  -0.01
9 I 0.500 0.500 0.000  -0.01
10 I 0.834 0.015 0.667  -0.01

Values from the calculation:
Calculated density: 5.8 g/cm3
Density of states at the Fermi level: 24.45 states/eV/cell
Electronic total energy: -46.91 eV/f.u.
Spin magnetization: 4.93 Bohr magnetons per cell

=====

# 4
A relaxed CeNiI2 crystal. Source: Alexandria via LeMat-Bulk, functional PBE-GGA.

Cell lengths 3.935, 3.935, 9.552 Å; angles 78.11, 78.11, 60.00 degrees
Site moments in Bohr magnetons follow the coordinates.
Sites, in units of the cell vectors:
1 I 0.112 0.112 0.664  0.06
2 I 0.888 0.888 0.336  0.06
3 Ni 0.500 0.500 0.500  0.68
4 Ce 0.000 0.000 0.000  1.08

Values from the calculation:
Calculated density: 6.0 g/cm3
Density of states at the Fermi level: 9.75 states/eV/cell
Electronic total energy: -14.77 eV/f.u.
Spin magnetization: 2.15 Bohr magnetons per cell

=====

# 5
A relaxed Ce2NiI crystal. Source: Alexandria via LeMat-Bulk, functional PBE-GGA.

Cell lengths 4.068, 4.068, 8.324 Å; angles 75.86, 75.86, 60.00 degrees
Site moments in Bohr magnetons follow the coordinates.
Sites, in units of the cell vectors:
1 Ce 0.062 0.062 0.815  0.88
2 Ce 0.272 0.272 0.184  0.90
3 Ni 0.667 0.667 0.998  -0.09
4 I 0.499 0.499 0.502  -0.01

Values from the calculation:
Calculated density: 6.8 g/cm3
Density of states at the Fermi level: 12.82 states/eV/cell
Electronic total energy: -21.39 eV/f.u.
Spin magnetization: 2.23 Bohr magnetons per cell
Polymorph energy (0 for the lowest one): 0.24 kJ per mole of atoms

=====

# 6
A relaxed CeNpI5 crystal. Source: Alexandria via LeMat-Bulk, functional PBE-GGA.

Cell lengths 4.342, 9.320, 14.987 Å; angles 94.44, 90.00, 90.00 degrees
Site moments in Bohr magnetons follow the coordinates.
Sites, in units of the cell vectors:
1 Ce 0.750 0.099 0.151  -1.08
2 Ce 0.250 0.901 0.849  -1.08
3 Np 0.250 0.429 0.349  4.28
4 Np 0.750 0.571 0.651  4.28
5 I 0.250 0.073 0.311  0.00
6 I 0.750 0.140 0.929  0.01
7 I 0.750 0.317 0.484  -0.05
8 I 0.250 0.351 0.130  0.00
9 I 0.250 0.361 0.715  -0.05
10 I 0.750 0.639 0.285  -0.05
11 I 0.750 0.649 0.870  0.00
12 I 0.250 0.683 0.516  -0.05
13 I 0.250 0.860 0.071  0.01
14 I 0.750 0.927 0.689  0.00

Values from the calculation:
Calculated density: 5.6 g/cm3
Density of states at the Fermi level: 35.08 states/eV/cell
Electronic total energy: -34.01 eV/f.u.
Spin magnetization: 6.96 Bohr magnetons per cell

=====

# 7
A relaxed CeNpI6 crystal. Source: Alexandria via LeMat-Bulk, functional PBE-GGA.

Cell lengths 8.113, 8.113, 7.732 Å; angles 98.33, 98.33, 123.12 degrees
Site moments in Bohr magnetons follow the coordinates.
Sites, in units of the cell vectors:
1 Ce 0.000 0.000 0.000  0.98
2 Np 0.500 0.500 0.500  4.02
3 I 0.596 0.897 0.750  -0.03
4 I 0.897 0.596 0.750  -0.03
5 I 0.103 0.404 0.250  -0.03
6 I 0.404 0.103 0.250  -0.03
7 I 0.249 0.249 0.746  -0.03
8 I 0.751 0.751 0.254  -0.03

Values from the calculation:
Calculated density: 4.7 g/cm3
Density of states at the Fermi level: 9.00 states/eV/cell
Electronic total energy: -36.81 eV/f.u.
Spin magnetization: 5.00 Bohr magnetons per cell

=====

# 8
A relaxed CeI2O8 crystal. Source: Alexandria via LeMat-Bulk, functional PBE-GGA.

Cell lengths 6.485, 6.362, 6.362 Å; angles 120.00, 90.00, 90.00 degrees
Site moments in Bohr magnetons follow the coordinates.
Sites, in units of the cell vectors:
1 Ce 0.000 0.000 0.000  0.45
2 I 0.284 0.333 0.667  0.09
3 I 0.716 0.667 0.333  0.09
4 O 0.440 0.667 0.333  0.10
5 O 0.560 0.333 0.667  0.10
6 O 0.802 0.831 0.169  0.13
7 O 0.198 0.169 0.337  0.13
8 O 0.198 0.663 0.831  0.13
9 O 0.198 0.169 0.831  0.13
10 O 0.802 0.831 0.663  0.13
11 O 0.802 0.337 0.169  0.13

Values from the calculation:
Calculated density: 3.8 g/cm3
Density of states at the Fermi level: 2.42 states/eV/cell
Electronic total energy: -58.15 eV/f.u.
Spin magnetization: 1.87 Bohr magnetons per cell

=====

# 9
A relaxed Ce2I3O crystal. Source: Alexandria via LeMat-Bulk, functional PBE-GGA.

Cell lengths 4.196, 10.558, 11.787 Å; angles 110.50, 90.00, 101.46 degrees
Site moments in Bohr magnetons follow the coordinates.
Sites, in units of the cell vectors:
1 Ce 0.075 0.149 0.742  0.93
2 Ce 0.925 0.851 0.258  0.93
3 Ce 0.424 0.848 0.531  0.94
4 Ce 0.576 0.152 0.469  0.94
5 I 0.920 0.841 0.743  -0.01
6 I 0.080 0.159 0.257  -0.01
7 I 0.361 0.722 0.042  -0.01
8 I 0.639 0.278 0.958  -0.01
9 I 0.196 0.392 0.633  -0.01
10 I 0.804 0.608 0.367  -0.01
11 O 0.543 0.085 0.638  -0.03
12 O 0.457 0.915 0.362  -0.03

Values from the calculation:
Calculated density: 4.7 g/cm3
Density of states at the Fermi level: 27.20 states/eV/cell
Electronic total energy: -32.83 eV/f.u.
Spin magnetization: 3.99 Bohr magnetons per cell

=====

# 10
A relaxed CeI3O9 crystal. Source: Alexandria via LeMat-Bulk, functional PBE-GGA.

Cell lengths 5.728, 6.371, 13.262 Å; angles 90.00, 90.00, 90.00 degrees
Site moments in Bohr magnetons follow the coordinates.
Sites, in units of the cell vectors:
1 Ce 0.500 0.677 0.000  0.01
2 Ce 0.000 0.323 0.500  0.01
3 I 0.500 0.845 0.500  0.35
4 I 0.000 0.155 0.000  0.35
5 I 0.500 0.266 0.723  0.01
6 I 0.500 0.266 0.277  0.01
7 I 0.000 0.734 0.777  0.01
8 I 0.000 0.734 0.223  0.01
9 O 0.500 0.383 0.000  0.00
10 O 0.000 0.617 0.500  0.00
11 O 0.250 0.979 0.000  0.12
12 O 0.750 0.979 0.000  0.12
13 O 0.250 0.021 0.500  0.12
14 O 0.750 0.021 0.500  0.12
15 O 0.500 0.986 0.694  0.03
16 O 0.500 0.986 0.306  0.03
17 O 0.000 0.014 0.806  0.03
18 O 0.000 0.014 0.194  0.03
19 O 0.241 0.626 0.853  0.01
20 O 0.759 0.626 0.853  0.01
21 O 0.241 0.626 0.147  0.01
22 O 0.759 0.626 0.147  0.01
23 O 0.259 0.374 0.647  0.01
24 O 0.741 0.374 0.647  0.01
25 O 0.259 0.374 0.353  0.01
26 O 0.741 0.374 0.353  0.01

Values from the calculation:
Calculated density: 4.6 g/cm3
Density of states at the Fermi level: 0.39 states/eV/cell
Electronic total energy: -66.14 eV/f.u.
Spin magnetization: 2.01 Bohr magnetons per cell

=====

# 11
A relaxed Ce2IO2 crystal. Source: Alexandria via LeMat-Bulk, functional PBE-GGA.

Cell lengths 3.907, 3.907, 6.950 Å; angles 90.00, 90.00, 90.00 degrees
Site moments in Bohr magnetons follow the coordinates.
Sites, in units of the cell vectors:
1 Ce 0.500 0.500 0.701  1.03
2 Ce 0.500 0.500 0.299  1.03
3 I 0.000 0.000 0.000  -0.01
4 O 0.500 0.000 0.500  -0.04
5 O 0.000 0.500 0.500  -0.04

Values from the calculation:
Calculated density: 6.9 g/cm3
Density of states at the Fermi level: 10.49 states/eV/cell
Electronic total energy: -34.27 eV/f.u.
Spin magnetization: 2.52 Bohr magnetons per cell

=====

# 12
A relaxed CePb2IO4 crystal. Source: Alexandria via LeMat-Bulk, functional PBE-GGA.

Cell lengths 4.005, 4.005, 9.737 Å; angles 90.00, 90.00, 90.00 degrees
Sites, in units of the cell vectors:
1 Ce 0.000 0.000 0.000
2 Pb 0.500 0.500 0.262
3 Pb 0.500 0.500 0.738
4 I 0.000 0.000 0.500
5 O 0.000 0.500 0.136
6 O 0.500 0.000 0.864
7 O 0.500 0.000 0.136
8 O 0.000 0.500 0.864

Values from the calculation:
Calculated density: 7.9 g/cm3
Density of states at the Fermi level: 2.73 states/eV/cell
Electronic total energy: -49.31 eV/f.u.
Spin magnetization: 0.00 Bohr magnetons per cell